Entry a
DFT (GGA-PBE) results for crystalline Ag3BrCl2 at its relaxed geometry.

The structure in CIF format:
```
data_Ag3BrCl2
_symmetry_space_group_name_H-M 'P 1'
_symmetry_Int_Tables_number 1
_symmetry_space_group_name_Hall 'P 1'
_cell_length_a 7.5089
_cell_length_b 7.5089
_cell_length_c 7.5227
_cell_angle_alpha 99.68
_cell_angle_beta 99.68
_cell_angle_gamma 120.00
loop_
_atom_site_label
_atom_site_type_symbol
_atom_site_fract_x
_atom_site_fract_y
_atom_site_fract_z
Ag1 Ag 0.0524 0.2279 0.3919
Ag2 Ag 0.2279 0.0524 0.8919
Ag3 Ag 0.8824 0.3980 0.8775
Ag4 Ag 0.3980 0.8824 0.3775
Ag5 Ag 0.5476 0.7124 0.8784
Ag6 Ag 0.7124 0.5476 0.3784
Br1 Br 0.1005 0.9271 0.5078
Br2 Br 0.9271 0.1005 0.0078
Cl1 Cl 0.5940 0.4298 0.0081
Cl2 Cl 0.7588 0.2640 0.5075
Cl3 Cl 0.4298 0.5940 0.5081
Cl4 Cl 0.2640 0.7588 0.0075
```

Calculated density ... 4.6 Mg/m³

---

Entry b
DFT (GGA-PBE) results for crystalline Ag3BrCl2 at its relaxed geometry.

The structure in CIF format:
```
data_Ag3BrCl2
_symmetry_space_group_name_H-M 'P 1'
_symmetry_Int_Tables_number 1
_symmetry_space_group_name_Hall 'P 1'
_cell_length_a 5.7301
_cell_length_b 4.3385
_cell_length_c 13.1519
_cell_angle_alpha 90.00
_cell_angle_beta 90.00
_cell_angle_gamma 90.00
loop_
_atom_site_label
_atom_site_type_symbol
_atom_site_fract_x
_atom_site_fract_y
_atom_site_fract_z
Ag1 Ag 0.0510 0.5000 0.6192
Ag2 Ag 0.3519 0.0000 0.5000
Ag3 Ag 0.0510 0.5000 0.3808
Ag4 Ag 0.9490 0.0000 0.1192
Ag5 Ag 0.6481 0.5000 0.0000
Ag6 Ag 0.9490 0.0000 0.8808
Br1 Br 0.6776 0.5000 0.5000
Br2 Br 0.3224 0.0000 0.0000
Cl1 Cl 0.2414 0.0000 0.6866
Cl2 Cl 0.2414 0.0000 0.3134
Cl3 Cl 0.7586 0.5000 0.1866
Cl4 Cl 0.7586 0.5000 0.8134
```

Calculated density ... 4.8 Mg/m³

---

It comes down to entry a, which is 23 meV/atom more stable than the next structure.

---

Entry a
DFT (GGA-PBE) results for crystalline Ag3Br2Cl at its relaxed geometry.

The structure in CIF format:
```
data_Ag3Br2Cl
_symmetry_space_group_name_H-M 'P 1'
_symmetry_Int_Tables_number 1
_symmetry_space_group_name_Hall 'P 1'
_cell_length_a 6.2251
_cell_length_b 7.2321
_cell_length_c 7.2321
_cell_angle_alpha 112.37
_cell_angle_beta 90.00
_cell_angle_gamma 90.00
loop_
_atom_site_label
_atom_site_type_symbol
_atom_site_fract_x
_atom_site_fract_y
_atom_site_fract_z
Ag1 Ag 0.4484 0.1180 0.7892
Ag2 Ag 0.9484 0.2108 0.8820
Ag3 Ag 0.4188 0.4366 0.4366
Ag4 Ag 0.9188 0.5634 0.5634
Ag5 Ag 0.9484 0.8820 0.2108
Ag6 Ag 0.4484 0.7892 0.1180
Br1 Br 0.7473 0.1891 0.5206
Br2 Br 0.2473 0.4794 0.8109
Br3 Br 0.2473 0.8109 0.4794
Br4 Br 0.7473 0.5206 0.1891
Cl1 Cl 0.7578 0.8687 0.8687
Cl2 Cl 0.2578 0.1313 0.1313
```

Calculated density ... 5.7 Mg/m³

---

Entry b
DFT (GGA-PBE) results for crystalline Ag3Br2Cl at its relaxed geometry.

The structure in CIF format:
```
data_Ag3Br2Cl
_symmetry_space_group_name_H-M 'P 1'
_symmetry_Int_Tables_number 1
_symmetry_space_group_name_Hall 'P 1'
_cell_length_a 4.3984
_cell_length_b 4.3984
_cell_length_c 10.7623
_cell_angle_alpha 90.00
_cell_angle_beta 90.00
_cell_angle_gamma 120.00
loop_
_atom_site_label
_atom_site_type_symbol
_atom_site_fract_x
_atom_site_fract_y
_atom_site_fract_z
Ag1 Ag 0.0000 0.0000 0.2495
Ag2 Ag 0.6667 0.3333 0.5936
Ag3 Ag 0.3333 0.6667 0.9073
Br1 Br 0.0000 0.0000 0.9964
Br2 Br 0.6667 0.3333 0.3395
Cl1 Cl 0.3333 0.6667 0.6636
```

Calculated density ... 4.8 Mg/m³

---

It comes down to entry b, which is 27 meV/atom more stable than the next structure.

---

Entry a
DFT (GGA-PBE) results for crystalline Ag2Br3Cl at its relaxed geometry.

The structure in CIF format:
```
data_Ag2Br3Cl
_symmetry_space_group_name_H-M 'P 1'
_symmetry_Int_Tables_number 1
_symmetry_space_group_name_Hall 'P 1'
_cell_length_a 5.6015
_cell_length_b 8.0254
_cell_length_c 8.0254
_cell_angle_alpha 120.00
_cell_angle_beta 90.00
_cell_angle_gamma 90.00
loop_
_atom_site_label
_atom_site_type_symbol
_atom_site_fract_x
_atom_site_fract_y
_atom_site_fract_z
Ag1 Ag 0.0000 0.0000 0.0000
Ag2 Ag 0.0000 0.5000 0.5000
Ag3 Ag 0.0000 0.5000 0.0000
Ag4 Ag 0.0000 0.0000 0.5000
Br1 Br 0.7269 0.3369 0.1684
Br2 Br 0.7269 0.8316 0.6631
Br3 Br 0.7269 0.8316 0.1684
Br4 Br 0.2731 0.1684 0.8316
Br5 Br 0.2731 0.6631 0.8316
Br6 Br 0.2731 0.1684 0.3369
Cl1 Cl 0.2394 0.6667 0.3333
Cl2 Cl 0.7606 0.3333 0.6667
```

N(E_F) ... 22.95 states/eV per cell
Calculated density ... 5.2 Mg/m³

---

Entry b
DFT (GGA-PBE) results for crystalline Ag2Br3Cl at its relaxed geometry.

The structure in CIF format:
```
data_Ag2Br3Cl
_symmetry_space_group_name_H-M 'P 1'
_symmetry_Int_Tables_number 1
_symmetry_space_group_name_Hall 'P 1'
_cell_length_a 4.3491
_cell_length_b 9.4653
_cell_length_c 11.9669
_cell_angle_alpha 78.17
_cell_angle_beta 55.15
_cell_angle_gamma 68.85
loop_
_atom_site_label
_atom_site_type_symbol
_atom_site_fract_x
_atom_site_fract_y
_atom_site_fract_z
Ag1 Ag 0.9835 0.4085 0.8456
Ag2 Ag 0.0165 0.5915 0.1544
Ag3 Ag 0.6707 0.2731 0.4724
Ag4 Ag 0.3293 0.7269 0.5276
Br1 Br 0.2861 0.1452 0.7334
Br2 Br 0.7139 0.8548 0.2666
Br3 Br 0.6159 0.6772 0.9733
Br4 Br 0.3841 0.3228 0.0267
Br5 Br 0.5382 0.8617 0.6452
Br6 Br 0.4618 0.1383 0.3548
Cl1 Cl 0.5393 0.4794 0.6465
Cl2 Cl 0.4607 0.5206 0.3535
```

Calculated density ... 4.3 Mg/m³

---

It comes down to entry b, which is 57 meV/atom more stable than the next structure.

---

Entry a
DFT (GGA-PBE) results for crystalline AgBrCl3 at its relaxed geometry.

The structure in CIF format:
```
data_AgBrCl3
_symmetry_space_group_name_H-M 'P 1'
_symmetry_Int_Tables_number 1
_symmetry_space_group_name_Hall 'P 1'
_cell_length_a 5.0388
_cell_length_b 5.0388
_cell_length_c 5.0388
_cell_angle_alpha 90.00
_cell_angle_beta 90.00
_cell_angle_gamma 90.00
loop_
_atom_site_label
_atom_site_type_symbol
_atom_site_fract_x
_atom_site_fract_y
_atom_site_fract_z
Br1 Br 0.5000 0.5000 0.5000
Ag1 Ag 0.0000 0.0000 0.0000
Cl1 Cl 0.0000 0.5000 0.0000
Cl2 Cl 0.0000 0.0000 0.5000
Cl3 Cl 0.5000 0.0000 0.0000
```

N(E_F) ... 4.84 states/eV per cell
Calculated density ... 3.8 Mg/m³

---

Entry b
DFT (GGA-PBE) results for crystalline AgBrCl3 at its relaxed geometry.

The structure in CIF format:
```
data_AgBrCl3
_symmetry_space_group_name_H-M 'P 1'
_symmetry_Int_Tables_number 1
_symmetry_space_group_name_Hall 'P 1'
_cell_length_a 6.9432
_cell_length_b 8.9969
_cell_length_c 9.6195
_cell_angle_alpha 83.13
_cell_angle_beta 90.00
_cell_angle_gamma 90.00
loop_
_atom_site_label
_atom_site_type_symbol
_atom_site_fract_x
_atom_site_fract_y
_atom_site_fract_z
Ag1 Ag 0.7572 0.0742 0.5800
Ag2 Ag 0.2428 0.9258 0.4200
Ag3 Ag 0.2572 0.9258 0.9200
Ag4 Ag 0.7428 0.0742 0.0800
Br1 Br 0.3059 0.4323 0.4253
Br2 Br 0.6941 0.5677 0.5747
Br3 Br 0.8059 0.5677 0.0747
Br4 Br 0.1941 0.4323 0.9253
Cl1 Cl 0.9316 0.0435 0.3319
Cl2 Cl 0.0684 0.9565 0.6681
Cl3 Cl 0.4316 0.9565 0.1681
Cl4 Cl 0.5684 0.0435 0.8319
Cl5 Cl 0.4481 0.1792 0.4677
Cl6 Cl 0.5519 0.8208 0.5323
Cl7 Cl 0.9481 0.8208 0.0323
Cl8 Cl 0.0519 0.1792 0.9677
Cl9 Cl 0.8635 0.3479 0.6274
Cl10 Cl 0.1365 0.6521 0.3726
Cl11 Cl 0.3635 0.6521 0.8726
Cl12 Cl 0.6365 0.3479 0.1274
```

N(E_F) ... 10.26 states/eV per cell
Calculated density ... 3.3 Mg/m³

---

It comes down to entry b, which is 316 meV/atom more stable than the next structure.

---

Entry a
DFT (GGA-PBE) results for crystalline Ag2BrCl3 at its relaxed geometry.

The structure in CIF format:
```
data_Ag2BrCl3
_symmetry_space_group_name_H-M 'P 1'
_symmetry_Int_Tables_number 1
_symmetry_space_group_name_Hall 'P 1'
_cell_length_a 4.3741
_cell_length_b 7.5590
_cell_length_c 11.8654
_cell_angle_alpha 81.50
_cell_angle_beta 62.41
_cell_angle_gamma 79.23
loop_
_atom_site_label
_atom_site_type_symbol
_atom_site_fract_x
_atom_site_fract_y
_atom_site_fract_z
Ag1 Ag 0.8772 0.3735 0.8752
Ag2 Ag 0.1228 0.6265 0.1248
Ag3 Ag 0.6236 0.1238 0.6257
Ag4 Ag 0.3764 0.8762 0.3743
Br1 Br 0.4512 0.4597 0.6871
Br2 Br 0.5488 0.5403 0.3129
Cl1 Cl 0.0567 0.0644 0.8071
Cl2 Cl 0.9433 0.9356 0.1929
Cl3 Cl 0.6945 0.6855 0.9432
Cl4 Cl 0.3055 0.3145 0.0568
Cl5 Cl 0.8136 0.8091 0.5548
Cl6 Cl 0.1864 0.1909 0.4452
```

N(E_F) ... 8.16 states/eV per cell
Calculated density ... 3.9 Mg/m³

---

Entry b
DFT (GGA-PBE) results for crystalline Ag2BrCl3 at its relaxed geometry.

The structure in CIF format:
```
data_Ag2BrCl3
_symmetry_space_group_name_H-M 'P 1'
_symmetry_Int_Tables_number 1
_symmetry_space_group_name_Hall 'P 1'
_cell_length_a 5.7792
_cell_length_b 7.8314
_cell_length_c 7.8314
_cell_angle_alpha 120.00
_cell_angle_beta 90.00
_cell_angle_gamma 90.00
loop_
_atom_site_label
_atom_site_type_symbol
_atom_site_fract_x
_atom_site_fract_y
_atom_site_fract_z
Ag1 Ag 0.0000 0.0000 0.0000
Ag2 Ag 0.0000 0.5000 0.5000
Ag3 Ag 0.0000 0.5000 0.0000
Ag4 Ag 0.0000 0.0000 0.5000
Br1 Br 0.2702 0.6667 0.3333
Br2 Br 0.7298 0.3333 0.6667
Cl1 Cl 0.7610 0.3329 0.1664
Cl2 Cl 0.7610 0.8336 0.6671
Cl3 Cl 0.7610 0.8336 0.1664
Cl4 Cl 0.2390 0.1665 0.8336
Cl5 Cl 0.2390 0.6671 0.8336
Cl6 Cl 0.2390 0.1665 0.3329
```

N(E_F) ... 16.91 states/eV per cell
Calculated density ... 4.3 Mg/m³

---

It comes down to entry a, which is 76 meV/atom more stable than the next structure.